1.
This record from the Open Quantum Materials Database describes Cu7Ag3 after structural relaxation. The functional is PBE.

Structure (POSCAR):
```
Cu7Ag3
1.0
4.488 -1.371 0.000
4.488 1.371 0.000
-1.917 0.000 11.122
Ag Cu
3 7
Cartesian
0.000 0.000 0.000
7.507 0.000 3.336
-0.447 0.000 7.787
2.432 0.000 1.087
5.075 0.000 2.284
0.979 0.000 4.531
3.530 0.000 5.561
6.081 0.000 6.591
1.984 0.000 8.838
4.628 0.000 10.035
```

Values from the calculation:
ΔE_f: 0.09 eV/atom
E: -33.578 eV per cell
SG: No. 12

2.
This record from the Open Quantum Materials Database describes KCuIrS3 after structural relaxation. The functional is PBE.

Structure (POSCAR):
```
KCuIrS3
1.0
-7.106 -0.021 6.106
-1.224 -7.001 -1.449
3.309 5.166 3.869
Cu Ir K S
2 2 2 6
Cartesian
-4.444 -1.354 5.605
-0.577 -0.501 2.920
0.000 0.000 0.000
-3.553 -0.010 3.053
-1.882 -4.002 1.390
-3.140 2.147 7.135
-6.261 -6.229 3.475
-3.278 -2.259 3.915
-6.288 -2.268 6.501
1.266 0.413 2.025
-1.743 0.404 4.611
1.239 4.374 5.051
```

Values from the calculation:
E: -57.678 eV per cell
SG: No. 63

3.
This record from the Open Quantum Materials Database describes DyEr2In3CuAg2 after structural relaxation. The functional is PBE.

Structure (POSCAR):
```
DyEr2In3CuAg2
1.0
3.876 0.000 0.000
0.000 6.739 3.886
0.000 -6.739 3.886
Ag Cu Dy Er In
2 1 1 2 3
Cartesian
1.938 2.251 3.885
1.938 -2.251 3.885
0.000 0.000 0.002
0.000 0.000 4.645
0.000 2.710 1.563
0.000 -2.710 1.563
1.938 5.046 2.912
1.938 0.000 1.950
1.938 -5.046 2.912
```

Values from the calculation:
E: -35.171 eV per cell
SG: No. 38

4.
This record from the Open Quantum Materials Database describes DyHoAg2Sb4 after structural relaxation. The functional is PBE.

Structure (POSCAR):
```
DyHoAg2Sb4
1.0
4.329 0.000 0.000
0.000 4.329 0.000
0.000 0.000 10.415
Ag Dy Ho Sb
2 1 1 4
Cartesian
2.165 0.000 5.210
0.000 2.165 5.210
0.000 0.000 2.455
2.165 2.165 7.961
2.165 2.165 3.274
0.000 0.000 7.146
2.165 0.000 10.410
0.000 2.165 10.410
```

Values from the calculation:
E: -36.185 eV per cell
SG: No. 99

5.
This record from the Open Quantum Materials Database describes SrHg2Au2 after structural relaxation. The functional is PBE.

Structure (POSCAR):
```
SrHg2Au2
1.0
-2.217 2.217 6.472
2.217 -2.217 6.472
2.217 2.217 -6.472
Au Hg Sr
2 2 1
Cartesian
0.000 0.000 5.130
0.000 0.000 7.814
0.000 2.217 3.236
2.217 0.000 3.236
0.000 0.000 0.000
```

Values from the calculation:
E: -10.963 eV per cell
SG: No. 139

6.
This record from the Open Quantum Materials Database describes CsYLuSe3 after structural relaxation. The functional is PBE.

Structure (POSCAR):
```
CsYLuSe3
1.0
2.225 -8.203 0.000
2.225 8.203 0.000
0.000 0.000 11.184
Cs Lu Se Y
2 2 6 2
Cartesian
2.225 -4.291 2.796
2.225 4.291 8.388
2.225 7.643 2.796
2.225 -7.643 8.388
2.225 6.278 0.531
2.225 0.936 2.796
2.225 6.278 5.061
2.225 -6.278 6.123
2.225 -0.936 8.388
2.225 -6.278 10.653
2.225 0.000 0.000
2.225 0.000 5.592
```

Values from the calculation:
E: -63.480 eV per cell
SG: No. 63